(1)
VASP calculation (PBE+U) on a geometry-optimized YFeO2 structure.

It has space group R-3m (No. 166, hexagonal axes), with a = 3.5004 Å, b = 3.5004 Å, c = 17.4933 Å, α = 90.00°, β = 90.00° and γ = 120.00°. The asymmetric unit holds Y at (0.0000, 0.0000, 0.0000), Fe at (0.0000, 0.0000, 0.5000) and O at (0.0000, 0.0000, 0.3927).

For the energy above the most stable polymorph in this dataset, the calculation gives 0 meV/atom. As for the uncorrected energy: -7.666 eV per atom.

(2)
VASP calculation (PBE+U) on a geometry-optimized Y3FeO6 structure.

It has space group Cmc2_1 (No. 36), with a = 8.9312 Å, b = 11.1991 Å, c = 5.4892 Å, α = 90.00°, β = 90.00° and γ = 90.00°. The asymmetric unit holds Y at (0.0000, 0.1021, 0.0000), Y at (0.1933, 0.3945, 0.9533), Fe at (0.0000, 0.3075, 0.4231), O at (0.0000, 0.2844, 0.7671), O at (0.0000, 0.4612, 0.2674), O at (0.1584, 0.2358, 0.2417) and O at (0.1606, 0.0164, 0.7262).

As for the uncorrected energy: -8.507 eV per atom.

(3)
VASP calculation (PBE+U) on a geometry-optimized YFe2O4 structure.

It has space group Fd-3m (No. 227, origin choice 2), with a = 8.9251 Å, b = 8.9251 Å, c = 8.9251 Å, α = 90.00°, β = 90.00° and γ = 90.00°. The asymmetric unit holds Y at (0.1250, 0.1250, 0.1250), Fe at (0.0000, 0.0000, 0.5000) and O at (0.0138, 0.0138, 0.7362).

For the energy above the most stable polymorph in this dataset, the calculation gives 167 meV/atom. As for the uncorrected energy: -7.384 eV per atom.

(4)
VASP calculation (PBE+U) on a geometry-optimized YFe2O structure.

It has space group I-42d (No. 122), with a = 7.8620 Å, b = 7.8620 Å, c = 4.5015 Å, α = 90.00°, β = 90.00° and γ = 90.00°. The asymmetric unit holds Y at (0.0000, 0.0000, 0.0000), Fe at (0.1722, 0.7500, 0.6250) and O at (0.0000, 0.0000, 0.5000).

As for the uncorrected energy: -5.986 eV per atom.

Values of total magnetic moment, in order: 9.00; 19.94; 72.00; 25.59, all in μB/cell.